Below is AcCo3Cu4O12 after structural relaxation, with properties calculated at the GGA+U level.

Summary:
final energy = -5.731 eV per atom

Unit cell a=6.4326 b=6.4326 c=6.4326 alpha=109.47 beta=109.47 gamma=109.47
With the nearest neighbours (Å) after each atom.
Fractional positions:
Ac 0.0000 0.0000 0.0000  12 O 2.69
Co 0.0000 0.5000 0.5000  4 O 1.88
Co 0.5000 0.0000 0.5000  4 O 1.88
Co 0.5000 0.5000 0.0000  4 O 1.88
Cu 0.0000 0.0000 0.5000  6 O 2.00
Cu 0.0000 0.5000 0.0000  6 O 2.00
Cu 0.5000 0.0000 0.0000  6 O 2.00
Cu 0.5000 0.5000 0.5000  6 O 2.00
O 0.1421 0.8253 0.3167  1 Co 1.88, 2 Cu 2.00
O 0.1747 0.3167 0.4914  1 Co 1.88, 2 Cu 2.00
O 0.1747 0.6833 0.8579  1 Co 1.88, 2 Cu 2.00
O 0.3167 0.1421 0.8253  1 Co 1.88, 2 Cu 2.00
O 0.3167 0.4914 0.1747  1 Co 1.88, 2 Cu 2.00
O 0.4914 0.1747 0.3167  1 Co 1.88, 2 Cu 2.00
O 0.5086 0.8253 0.6833  1 Co 1.88, 2 Cu 2.00
O 0.6833 0.5086 0.8253  1 Co 1.88, 2 Cu 2.00
O 0.6833 0.8579 0.1747  1 Co 1.88, 2 Cu 2.00
O 0.8253 0.3167 0.1421  1 Co 1.88, 2 Cu 2.00
O 0.8253 0.6833 0.5086  1 Co 1.88, 2 Cu 2.00
O 0.8579 0.1747 0.6833  1 Co 1.88, 2 Cu 2.00